No. 1
First-principles (GGA-PBE) data for crystalline GaSiTe2 at its relaxed geometry, as listed in Alexandria.

Output
Polymorph energy (0 for the lowest one)   0 meV per atom
Formation energy from raw total energies   0.150 eV/atom

Lattice parameters (Å, degrees): 7.403 7.403 8.727 90.00 90.00 90.00
Space group I-42d (No. 122)
Asymmetric unit:
1 Ga 0.000 0.000 0.000
2 Si 0.000 0.000 0.500
3 Te 0.226 0.250 0.625

No. 2
First-principles (GGA-PBE) data for crystalline Ti4BeNi2 at its relaxed geometry, as listed in Alexandria.

Output
DFT formation energy   -0.123 eV/atom

Lattice parameters (Å, degrees): 6.102 8.359 4.019 90.00 90.00 90.00
Space group Cmmm (No. 65)
Asymmetric unit:
1 Ti 0.233 0.000 0.000
2 Ti 0.250 0.250 0.500
3 Be 0.000 0.500 0.500
4 Ni 0.000 0.282 0.000

No. 3
First-principles (GGA-PBE) data for crystalline Re3BiAu at its relaxed geometry, as listed in Alexandria.

Output
Polymorph energy (0 for the lowest one)   0 meV per atom
DFT formation energy   2.680 eV/atom

Lattice parameters (Å, degrees): 4.896 4.896 4.896 90.00 90.00 90.00
Space group Pm-3m (No. 221)
Asymmetric unit:
1 Re 0.000 0.000 0.500
2 Bi 0.500 0.500 0.500
3 Au 0.000 0.000 0.000

No. 4
First-principles (GGA-PBE) data for crystalline CrNiIr2 at its relaxed geometry, as listed in Alexandria.

Output
DFT formation energy   -0.043 eV/atom

Lattice parameters (Å, degrees): 8.804 2.672 4.501 90.00 100.17 90.00
Space group Cm (No. 8)
Asymmetric unit:
1 Cr 0.000 0.000 0.000
2 Ni 0.249 0.000 0.748
3 Ir 0.249 0.500 0.237
4 Ir 0.498 0.000 0.510

no.,size of the total moment (μB/atom),Fermi-level density of states (states/eV/f.u.)
1,0.000,2.31
2,0.000,9.15
3,0.751,8.27
4,0.001,5.10